No. 1
Crystalline Na2LiAg6 at its relaxed geometry. Source: Alexandria, functional PBE-GGA.

Values from the calculation:
space group = P-62m
formation energy = -0.036 eV per atom
crystal system = hexagonal
D(E_F) = 2.050 states/eV/cell

Unit cell a=2.891 b=8.209 c=8.209 alpha=120.00 beta=90.00 gamma=90.00
Fractional positions:
1 Ag 0.000 0.298 0.298
2 Ag 0.500 0.663 0.663
3 Ag 0.000 0.702 0.000
4 Ag 0.000 0.000 0.702
5 Ag 0.500 0.000 0.337
6 Ag 0.500 0.337 0.000
7 Li 0.500 0.000 0.000
8 Na 0.000 0.667 0.333
9 Na 0.000 0.333 0.667

---

No. 2
Crystalline KHf3Ge at its relaxed geometry. Source: Alexandria, functional PBE-GGA.

Values from the calculation:
space group = Pm-3m
formation energy = 0.801 eV per atom
crystal system = cubic
D(E_F) = 10.227 states/eV/cell

Unit cell a=5.184 b=5.184 c=5.184 alpha=90.00 beta=90.00 gamma=90.00
Fractional positions:
1 Hf 0.000 0.000 0.500
2 Hf 0.500 0.000 0.000
3 Hf 0.000 0.500 0.000
4 K 0.500 0.500 0.500
5 Ge 0.000 0.000 0.000

---

No. 3
Crystalline Tb2DyCu2 at its relaxed geometry. Source: Alexandria, functional PBE-GGA.

Values from the calculation:
space group = P2_1/m
formation energy = -0.160 eV per atom
crystal system = monoclinic
D(E_F) = 7.977 states/eV/cell

Unit cell a=3.520 b=5.066 c=13.114 alpha=90.00 beta=97.70 gamma=90.00
Fractional positions:
1 Cu 0.454 0.750 0.907
2 Cu 0.546 0.250 0.093
3 Cu 0.360 0.250 0.720
4 Cu 0.640 0.750 0.280
5 Dy 0.859 0.750 0.718
6 Dy 0.141 0.250 0.282
7 Tb 0.953 0.250 0.906
8 Tb 0.047 0.750 0.094
9 Tb 0.230 0.750 0.460
10 Tb 0.770 0.250 0.540

---

No. 4
Crystalline TbPm3Ho4 at its relaxed geometry. Source: Alexandria, functional PBE-GGA.

Values from the calculation:
space group = Pmn2_1
formation energy = 0.020 eV per atom
crystal system = orthorhombic
D(E_F) = 28.350 states/eV/cell

Unit cell a=6.294 b=7.295 c=11.418 alpha=90.00 beta=90.00 gamma=90.00
Fractional positions:
1 Pm 0.482 0.373 0.250
2 Pm 0.647 0.627 0.000
3 Pm 0.982 0.627 0.250
4 Pm 0.147 0.373 0.500
5 Pm 0.482 0.373 0.750
6 Pm 0.982 0.627 0.750
7 Tb 0.147 0.371 0.000
8 Tb 0.647 0.629 0.500
9 Ho 0.148 0.878 0.500
10 Ho 0.481 0.878 0.749
11 Ho 0.148 0.878 0.000
12 Ho 0.648 0.122 0.500
13 Ho 0.481 0.878 0.251
14 Ho 0.648 0.122 0.000
15 Ho 0.981 0.122 0.249
16 Ho 0.981 0.122 0.751

---

No. 5
Crystalline YTa2Zn at its relaxed geometry. Source: Alexandria, functional PBE-GGA.

Values from the calculation:
space group = P2/m
formation energy = 0.278 eV per atom
crystal system = monoclinic
D(E_F) = 3.402 states/eV/cell

Unit cell a=5.144 b=3.082 c=5.211 alpha=82.03 beta=90.00 gamma=90.00
Fractional positions:
1 Y 0.500 0.250 0.250
2 Ta 0.000 0.616 0.513
3 Ta 0.000 0.884 0.987
4 Zn 0.500 0.750 0.750

---

No. 6
Crystalline Sc2B2Pt at its relaxed geometry. Source: Alexandria, functional PBE-GGA.

Values from the calculation:
space group = P4/mbm
formation energy = -0.820 eV per atom
crystal system = tetragonal
D(E_F) = 4.295 states/eV/cell

Unit cell a=5.989 b=5.989 c=3.633 alpha=90.00 beta=90.00 gamma=90.00
Fractional positions:
1 Sc 0.823 0.323 0.500
2 Sc 0.323 0.177 0.500
3 Sc 0.177 0.677 0.500
4 Sc 0.677 0.823 0.500
5 B 0.106 0.394 0.000
6 B 0.394 0.894 0.000
7 B 0.894 0.606 0.000
8 B 0.606 0.106 0.000
9 Pt 0.000 0.000 0.000
10 Pt 0.500 0.500 0.000

---

No. 7
Crystalline Sr5Tl4Sn at its relaxed geometry. Source: Alexandria, functional PBE-GGA.

Values from the calculation:
space group = P4/mmm
formation energy = -0.458 eV per atom
crystal system = tetragonal
D(E_F) = 7.545 states/eV/cell

Unit cell a=4.088 b=4.088 c=20.508 alpha=90.00 beta=90.00 gamma=90.00
Fractional positions:
1 Sr 0.500 0.500 0.700
2 Sr 0.500 0.500 0.901
3 Sr 0.500 0.500 0.300
4 Sr 0.500 0.500 0.500
5 Sr 0.500 0.500 0.099
6 Tl 0.000 0.000 0.797
7 Tl 0.000 0.000 0.203
8 Tl 0.000 0.000 0.398
9 Tl 0.000 0.000 0.602
10 Sn 0.000 0.000 0.000

---

No. 8
Crystalline BeCdSi2 at its relaxed geometry. Source: Alexandria, functional PBE-GGA.

Values from the calculation:
space group = Cmmm
energy relative to the elements, uncorrected = 0.635 eV per atom
crystal system = orthorhombic
D(E_F) = 1.192 states/eV/cell

Unit cell a=4.472 b=4.472 c=3.548 alpha=90.00 beta=90.00 gamma=111.64
Fractional positions:
1 Si 0.000 0.000 0.000
2 Si 0.500 0.500 0.000
3 Be 0.500 0.000 0.500
4 Cd 0.000 0.500 0.500

---

No. 9
Crystalline Er4C2I at its relaxed geometry. Source: Alexandria, functional PBE-GGA.

Values from the calculation:
space group = R-3m
energy relative to the elements, uncorrected = -0.540 eV per atom
crystal system = trigonal
D(E_F) = 4.547 states/eV/cell

Unit cell a=3.657 b=3.657 c=13.642 alpha=82.30 beta=82.30 gamma=60.00
Fractional positions:
1 Er 0.875 0.875 0.376
2 Er 0.125 0.125 0.624
3 Er 0.728 0.728 0.815
4 Er 0.272 0.272 0.185
5 I 0.000 0.000 0.000
6 C 0.576 0.576 0.272
7 C 0.424 0.424 0.728

---

No. 10
Crystalline CdTeSCl2 at its relaxed geometry. Source: Alexandria, functional PBE-GGA.

Values from the calculation:
space group = P4/mmm
energy relative to the elements, uncorrected = -0.018 eV per atom
crystal system = tetragonal
D(E_F) = 4.231 states/eV/cell

Unit cell a=5.317 b=5.317 c=5.191 alpha=90.00 beta=90.00 gamma=90.00
Fractional positions:
1 S 0.000 0.000 0.500
2 Cl 0.000 0.500 0.000
3 Cl 0.500 0.000 0.000
4 Te 0.000 0.000 0.000
5 Cd 0.500 0.500 0.500

---

No. 11
Crystalline TmNF2 at its relaxed geometry. Source: Alexandria, functional PBE-GGA.

Values from the calculation:
space group = P2_1/m
energy relative to the elements, uncorrected = -2.143 eV per atom
crystal system = monoclinic

Unit cell a=3.902 b=6.772 c=8.213 alpha=145.00 beta=90.00 gamma=90.00
Each line ends with the local moment (μB).
Fractional positions:
1 N 0.278 0.320 0.066  1.20
2 N 0.778 0.866 0.038  1.20
3 F 0.778 0.632 0.491  0.03
4 F 0.278 0.020 0.412  0.03
5 F 0.778 0.166 0.691  0.03
6 F 0.278 0.554 0.612  0.03
7 Tm 0.278 0.860 0.567  0.00
8 Tm 0.778 0.326 0.537  0.00

---

No. 12
Crystalline CePr4Er3 at its relaxed geometry. Source: Alexandria, functional PBE-GGA.

Values from the calculation:
space group = C2/m
formation energy = 0.194 eV per atom
crystal system = monoclinic
D(E_F) = 15.833 states/eV/cell

Unit cell a=3.447 b=6.890 c=12.025 alpha=106.51 beta=98.24 gamma=90.00
Each line ends with the local moment (μB).
Fractional positions:
1 Pr 0.122 0.365 0.243  0.00
2 Pr 0.878 0.635 0.757  0.00
3 Pr 0.259 0.767 0.518  0.01
4 Pr 0.741 0.233 0.482  0.01
5 Er 0.000 0.500 0.000  -0.05
6 Er 0.878 0.119 0.756  -0.02
7 Er 0.122 0.881 0.244  -0.02
8 Ce 0.500 0.000 0.000  -0.71

---

No. 13
Crystalline Na2MgSbF at its relaxed geometry. Source: Alexandria, functional PBE-GGA.

Values from the calculation:
space group = P4/mmm
energy relative to the elements, uncorrected = -1.239 eV per atom
crystal system = tetragonal
D(E_F) = 0.997 states/eV/cell

Unit cell a=4.497 b=4.497 c=4.944 alpha=90.00 beta=90.00 gamma=90.00
Fractional positions:
1 Mg 0.000 0.000 0.500
2 Sb 0.500 0.500 0.500
3 Na 0.500 0.000 0.000
4 Na 0.000 0.500 0.000
5 F 0.000 0.000 0.000

---

No. 14
Crystalline Pr3Nd7Dy at its relaxed geometry. Source: Alexandria, functional PBE-GGA.

Values from the calculation:
space group = C2/m
formation energy = 0.222 eV per atom
crystal system = monoclinic
D(E_F) = 15.630 states/eV/cell

Unit cell a=6.555 b=7.878 c=7.878 alpha=82.06 beta=86.46 gamma=86.46
Fractional positions:
1 Nd 0.785 0.240 0.240
2 Nd 0.215 0.760 0.760
3 Nd 0.738 0.571 0.915
4 Nd 0.262 0.429 0.085
5 Nd 0.000 0.500 0.500
6 Nd 0.262 0.085 0.429
7 Nd 0.738 0.915 0.571
8 Dy 0.500 0.500 0.500
9 Pr 0.500 0.000 0.000
10 Pr 0.000 0.827 0.173
11 Pr 0.000 0.173 0.827

---

No. 15
Crystalline TbSm2YP4 at its relaxed geometry. Source: Alexandria, functional PBE-GGA.

Values from the calculation:
space group = P2/m
formation energy = -1.595 eV per atom
crystal system = monoclinic
D(E_F) = 0.766 states/eV/cell

Unit cell a=4.066 b=7.040 c=7.038 alpha=109.47 beta=90.00 gamma=90.00
Fractional positions:
1 P 0.500 0.248 0.245
2 P 0.500 0.752 0.755
3 P 0.000 0.251 0.755
4 P 0.000 0.749 0.245
5 Sm 0.000 0.500 0.500
6 Sm 0.500 0.000 0.500
7 Y 0.000 0.000 0.000
8 Tb 0.500 0.500 0.000

---

No. 16
Crystalline K2HfZrOs at its relaxed geometry. Source: Alexandria, functional PBE-GGA.

Values from the calculation:
space group = P4/mmm
formation energy = 2.485 eV per atom
crystal system = tetragonal
D(E_F) = 7.529 states/eV/cell

Unit cell a=6.100 b=5.156 c=6.100 alpha=90.00 beta=90.00 gamma=90.00
Each line ends with the local moment (μB).
Fractional positions:
1 K 0.500 0.000 0.000  -0.02
2 K 0.000 0.000 0.500  -0.02
3 Zr 0.000 0.500 0.000  -0.23
4 Os 0.500 0.500 0.500  2.65
5 Hf 0.000 0.000 0.000  -0.24

---

No. 17
Crystalline La3NdH at its relaxed geometry. Source: Alexandria, functional PBE-GGA.

Values from the calculation:
E_tot = -4.759 eV/atom
space group = Pm-3m
crystal system = cubic
D(E_F) = 4.928 states/eV/cell

Unit cell a=5.267 b=5.267 c=5.267 alpha=90.00 beta=90.00 gamma=90.00
Fractional positions:
1 Nd 0.500 0.500 0.500
2 La 0.500 0.000 0.000
3 La 0.000 0.000 0.500
4 La 0.000 0.500 0.000
5 H 0.000 0.000 0.000

---

No. 18
Crystalline La5SmDy2 at its relaxed geometry. Source: Alexandria, functional PBE-GGA.

Values from the calculation:
space group = C2/c
formation energy = 0.129 eV per atom
crystal system = monoclinic
D(E_F) = 27.758 states/eV/cell

Unit cell a=10.209 b=6.760 c=10.964 alpha=117.44 beta=117.75 gamma=90.00
Fractional positions:
1 La 0.291 0.886 0.413
2 La 0.938 0.750 0.000
3 La 0.062 0.250 0.000
4 La 0.503 0.470 0.816
5 La 0.687 0.030 0.184
6 La 0.121 0.386 0.413
7 La 0.497 0.530 0.184
8 La 0.709 0.114 0.587
9 La 0.879 0.614 0.587
10 La 0.313 0.970 0.816
11 Dy 0.175 0.485 0.834
12 Dy 0.341 0.015 0.166
13 Dy 0.659 0.985 0.834
14 Dy 0.825 0.515 0.166
15 Sm 0.000 0.000 0.500
16 Sm 0.500 0.500 0.500

---

No. 19
Crystalline Li2La2YMg5 at its relaxed geometry. Source: Alexandria, functional PBE-GGA.

Values from the calculation:
space group = P4/mbm
formation energy = -0.059 eV per atom
crystal system = tetragonal
D(E_F) = 21.995 states/eV/cell

Unit cell a=4.440 b=10.924 c=10.924 alpha=90.00 beta=90.00 gamma=90.00
Fractional positions:
1 La 0.000 0.182 0.318
2 La 0.000 0.682 0.182
3 La 0.000 0.818 0.682
4 La 0.000 0.318 0.818
5 Li 0.000 0.886 0.386
6 Li 0.000 0.114 0.614
7 Li 0.000 0.614 0.886
8 Li 0.000 0.386 0.114
9 Mg 0.500 0.441 0.286
10 Mg 0.500 0.786 0.941
11 Mg 0.500 0.000 0.500
12 Mg 0.500 0.500 0.000
13 Mg 0.500 0.214 0.059
14 Mg 0.500 0.941 0.214
15 Mg 0.500 0.559 0.714
16 Mg 0.500 0.059 0.786
17 Mg 0.500 0.714 0.441
18 Mg 0.500 0.286 0.559
19 Y 0.000 0.500 0.500
20 Y 0.000 0.000 0.000

---

No. 20
Crystalline BaZr2Pd at its relaxed geometry. Source: Alexandria, functional PBE-GGA.

Values from the calculation:
space group = Fm-3m
formation energy = 0.341 eV per atom
crystal system = cubic
D(E_F) = 4.206 states/eV/cell

Unit cell a=5.038 b=5.038 c=5.038 alpha=60.00 beta=60.00 gamma=60.00
Fractional positions:
1 Ba 0.500 0.500 0.500
2 Pd 0.000 0.000 0.000
3 Zr 0.250 0.250 0.250
4 Zr 0.750 0.750 0.750

---

Size of the total moment values (in μB/atom) by entry order: 0.00; 0.00; 0.00; 0.00; 0.00; 0.00; 0.00; 0.00; 0.00; 0.00; 0.50; 0.12; 0.00; 0.00; 0.00; 0.38; 0.00; 0.00; 0.00; 0.00.